[1]
4
Lattice="-0.022 -0.285 2.824 -2.314 -1.634 -0.183 4.465 -6.255 -0.596" Properties=species:S:1:pos:R:3 comment="AlCoAg2 | Alexandria | PBE | optimized geometry" dos_ef_per_ev_cell=3.2 formation_energy_ev_per_atom=0.24 pbc="T T T"
Co 2.181 -5.651 0.873
Al -0.051 -2.523 1.172
Ag 4.451 -6.235 -0.594
Ag 2.247 -3.148 -0.300

---

[2]
8
Lattice="-3.081 0.531 -4.953 -2.155 -5.392 0.762 -7.180 -0.172 0.985" Properties=species:S:1:pos:R:3 comment="NaPS2 | Alexandria | PBE | optimized geometry" formation_energy_uncorrected_ev_per_atom=-0.29 dos_ef_per_ev_cell=0.8 pbc="T T T"
P 0.000 0.000 0.000
P -6.440 -1.035 -3.031
S -4.249 -0.340 -3.170
S -3.268 -3.391 0.519
S -7.168 -1.499 -0.896
S -10.148 -4.835 -2.864
Na -2.618 -2.430 -2.095
Na -5.977 -3.997 -0.174

---

[3]
3
Lattice="4.891 0.000 0.000 2.446 4.236 0.000 2.446 1.412 3.994" Properties=species:S:1:pos:R:3 comment="LaCeRu | Alexandria | PBE | optimized geometry" relative_energy_ev_per_atom=0.127 dos_ef_per_ev_cell=6.8 formation_energy_ev_per_atom=-0.13 pbc="T T T"
Ru 2.446 1.412 0.998
Ce 4.891 2.824 1.997
La 0.000 0.000 0.000

---

[4]
5
Lattice="4.654 0.000 0.000 0.000 4.654 0.000 0.000 0.000 4.654" Properties=species:S:1:pos:R:3 comment="GeP3O | Alexandria | PBE | optimized geometry" relative_energy_ev_per_atom=0.957 formation_energy_uncorrected_ev_per_atom=1.56 dos_ef_per_ev_cell=8.4 pbc="T T T"
P 0.000 2.327 0.000
P 0.000 0.000 2.327
P 2.327 0.000 0.000
Ge 0.000 0.000 0.000
O 2.327 2.327 2.327

---

Please write out number 3 again, unchanged.
3
Lattice="4.891 0.000 0.000 2.446 4.236 0.000 2.446 1.412 3.994" Properties=species:S:1:pos:R:3 comment="LaCeRu | Alexandria | PBE | optimized geometry" relative_energy_ev_per_atom=0.127 dos_ef_per_ev_cell=6.8 formation_energy_ev_per_atom=-0.13 pbc="T T T"
Ru 2.446 1.412 0.998
Ce 4.891 2.824 1.997
La 0.000 0.000 0.000

---

What is the formula in the first record? AlCoAg2